Record 1
Computed, not measured: a relaxed structure of Sm5Ru2O12 at the PBE-GGA level of DFT.

Unit cell a=5.936 b=6.990 c=7.578 alpha=105.82 beta=90.00 gamma=115.13
Fractional coordinates of all 19 atoms:
Sm: 0.305 0.609 0.641
Sm: 0.310 0.620 0.170
Sm: 0.000 0.000 0.500
Sm: 0.690 0.380 0.830
Sm: 0.695 0.391 0.359
Ru: 0.765 0.000 0.000
Ru: 0.235 0.000 0.000
O: 0.000 0.001 0.190
O: 0.095 0.676 0.919
O: 0.581 0.676 0.919
O: 0.097 0.691 0.424
O: 0.595 0.691 0.424
O: 0.500 0.999 0.823
O: 0.500 0.001 0.177
O: 0.903 0.309 0.576
O: 0.405 0.309 0.576
O: 0.905 0.324 0.081
O: 0.419 0.324 0.081
O: 0.000 0.999 0.810

Formation energy (no corrections) in eV/atom: -2.649
Total DFT energy (no corrections) in eV per atom: -7.999



Record 2
Computed, not measured: a relaxed structure of Sm2RuO at the PBE-GGA level of DFT.

Unit cell a=3.264 b=3.264 c=6.827 alpha=90.00 beta=90.00 gamma=90.00
Fractional coordinates of all 4 atoms:
Ru: 0.500 0.500 0.000
O: 0.500 0.500 0.500
Sm: 0.000 0.000 0.735
Sm: 0.000 0.000 0.265

Formation energy (no corrections) in eV/atom: -1.108
Total DFT energy (no corrections) in eV per atom: -7.026
Polymorph energy (0 for the lowest one) in eV per formula unit: 0.79



Record 3
Computed, not measured: a relaxed structure of Sm2RuO at the PBE-GGA level of DFT.

Unit cell a=3.542 b=3.542 c=7.380 alpha=76.12 beta=76.12 gamma=60.00
Fractional coordinates of all 4 atoms:
Ru: 0.500 0.500 0.500
O: 0.000 0.000 0.000
Sm: 0.739 0.739 0.784
Sm: 0.261 0.261 0.216

Formation energy (no corrections) in eV/atom: -1.306
Total DFT energy (no corrections) in eV per atom: -7.224
Polymorph energy (0 for the lowest one) in eV per formula unit: 0.00



Record 4
Computed, not measured: a relaxed structure of SmRuO5 at the PBE-GGA level of DFT.

Unit cell a=7.686 b=7.686 c=4.354 alpha=90.00 beta=90.00 gamma=90.00
Fractional coordinates of all 14 atoms:
Sm: 0.000 0.500 0.250
Sm: 0.500 0.000 0.750
Ru: 0.000 0.000 0.500
Ru: 0.500 0.500 0.500
O: 0.000 0.186 0.265
O: 0.314 0.500 0.265
O: 0.500 0.000 0.248
O: 0.000 0.500 0.752
O: 0.686 0.500 0.265
O: 0.000 0.814 0.265
O: 0.500 0.686 0.735
O: 0.814 0.000 0.735
O: 0.186 0.000 0.735
O: 0.500 0.314 0.735

Formation energy (no corrections) in eV/atom: -1.522
Total DFT energy (no corrections) in eV per atom: -7.063



Record 5
Computed, not measured: a relaxed structure of Sm6Ru2O at the PBE-GGA level of DFT.

Unit cell a=6.519 b=7.250 c=9.553 alpha=90.00 beta=89.00 gamma=90.00
Fractional coordinates of all 18 atoms:
Sm: 0.126 0.046 0.255
Sm: 0.172 0.317 0.565
Sm: 0.185 0.331 0.939
Sm: 0.315 0.831 0.561
Sm: 0.328 0.817 0.935
Sm: 0.374 0.546 0.245
Sm: 0.874 0.954 0.745
Sm: 0.828 0.683 0.435
Sm: 0.815 0.669 0.061
Sm: 0.685 0.169 0.439
Sm: 0.672 0.183 0.065
Sm: 0.626 0.454 0.755
Ru: 0.036 0.602 0.755
Ru: 0.464 0.102 0.745
Ru: 0.536 0.898 0.255
Ru: 0.964 0.398 0.245
O: 0.500 0.500 0.000
O: 0.000 0.000 0.500

Formation energy (no corrections) in eV/atom: -0.810
Total DFT energy (no corrections) in eV per atom: -6.569



Record 6
Computed, not measured: a relaxed structure of SmRuO3 at the PBE-GGA level of DFT.

Unit cell a=4.024 b=5.618 c=6.399 alpha=102.55 beta=90.00 gamma=90.00
Fractional coordinates of all 10 atoms:
Sm: 0.250 0.983 0.249
Sm: 0.750 0.017 0.751
Ru: 0.750 0.464 0.353
Ru: 0.250 0.536 0.647
O: 0.750 0.832 0.375
O: 0.250 0.168 0.625
O: 0.250 0.825 0.878
O: 0.750 0.578 0.696
O: 0.750 0.175 0.122
O: 0.250 0.422 0.304

Formation energy (no corrections) in eV/atom: -1.873
Total DFT energy (no corrections) in eV per atom: -7.647



Record 7
Computed, not measured: a relaxed structure of SrSm2RuO8 at the PBE-GGA level of DFT.

Unit cell a=5.169 b=5.160 c=7.113 alpha=89.99 beta=89.99 gamma=89.41
Fractional coordinates of all 12 atoms:
Sr: 0.000 0.000 0.500
Sm: 0.500 0.500 0.749
Sm: 0.500 0.500 0.251
Ru: 0.000 0.000 0.000
O: 0.180 0.817 0.189
O: 0.737 0.740 0.000
O: 0.819 0.183 0.189
O: 0.820 0.183 0.811
O: 0.263 0.260 0.000
O: 0.181 0.817 0.811
O: 0.679 0.682 0.500
O: 0.321 0.318 0.500

Formation energy (no corrections) in eV/atom: -2.050
Total DFT energy (no corrections) in eV per atom: -7.056



Record 8
Computed, not measured: a relaxed structure of SrSmRuO6 at the PBE-GGA level of DFT.

Unit cell a=5.668 b=5.668 c=10.211 alpha=90.00 beta=90.00 gamma=120.00
Fractional coordinates of all 18 atoms:
Sr: 0.000 0.000 0.000
Sr: 0.000 0.000 0.500
Sm: 0.333 0.667 0.250
Sm: 0.667 0.333 0.750
Ru: 0.667 0.333 0.250
Ru: 0.333 0.667 0.750
O: 0.661 0.609 0.144
O: 0.948 0.339 0.144
O: 0.339 0.948 0.644
O: 0.052 0.661 0.856
O: 0.391 0.339 0.356
O: 0.948 0.609 0.356
O: 0.609 0.948 0.856
O: 0.661 0.052 0.356
O: 0.052 0.391 0.644
O: 0.391 0.052 0.144
O: 0.609 0.661 0.644
O: 0.339 0.391 0.856

Formation energy (no corrections) in eV/atom: -1.917
Total DFT energy (no corrections) in eV per atom: -6.964



Q: Number 3 is which compound?
A: Sm2RuO